A relaxed La2TcH5 crystal, computed with GGA-PBE.

The value obtained for the density of states at the Fermi level is 0.16 states/eV per atom. Its magnetic moment is 0.00 μB/f.u. Its total energy is -5.1219 eV/atom.

Cell and atoms, written as extended XYZ:
```
8
Lattice="-4.131 -3.012 -1.152 0.719 -2.686 4.443 -0.564 5.263 0.180" Properties=species:S:1:pos:R:3 pbc="T T T"
La -0.786 -0.125 3.143
La -3.211 -0.288 0.345
H -0.843 -1.367 0.811
H -0.473 -2.749 3.097
H -2.886 -1.594 2.595
H -2.969 -2.917 0.218
H -2.598 -4.299 2.504
Tc -3.973 -0.438 3.469
```